The following is a DFT calculation (PBE-GGA) of a relaxed structure of LiVBi3.

Values from the calculation:
Its calculated formation energy is 586 meV/atom. The polymorph energy (0 for the lowest one) is 315.8 meV per atom. The symmetry is Pm-3m (221). The value obtained for the density of states at the Fermi level is 5.179 states/eV/cell.

Unit cell a=5.1368 b=5.1368 c=5.1368 alpha=90.00 beta=90.00 gamma=90.00
Fractional coordinates of all 5 atoms:
Li 0.0000 0.0000 0.0000
V 0.5000 0.5000 0.5000
Bi 0.0000 0.0000 0.5000
Bi 0.0000 0.5000 0.0000
Bi 0.5000 0.0000 0.0000